(1)
Compound: K3SnBr6
Source: the Alexandria database
Functional: GGA-PBE
Structure: optimized geometry

extended XYZ file:
```
20
Lattice="-6.8077 4.5509 -4.5757 -6.2819 -5.3440 4.4688 -0.1337 6.3242 6.9266" Properties=species:S:1:pos:R:3 pbc="T T T"
K -9.0450 6.8049 3.0558
K -11.1066 1.3007 3.5225
K -5.3363 1.9086 -1.0625
K -7.8870 3.6224 7.8823
K -4.1783 -1.2739 3.7640
K -2.1166 4.2303 3.2973
Br -6.7851 4.9549 4.9138
Br -5.1179 4.0687 1.6335
Br -2.7258 6.6303 5.3895
Br -6.4382 0.5762 1.9060
Br -6.8088 8.1155 1.1090
Br -8.1053 1.4624 5.1863
Br -10.4974 -1.0993 1.4303
Br -5.1275 2.3675 9.0307
Br -4.3963 2.0278 4.6878
Br -8.8269 3.5033 2.1319
Br -6.4145 -2.5844 5.7108
Br -8.0958 3.1636 -2.2110
Sn 0.0000 0.0000 0.0000
Sn -6.6116 2.7655 3.4099
```

Calculated values
- E_tot: -3.05 eV/atom
- Crystal system: trigonal
- Formation energy (no corrections): -1.32 eV/atom

***

(2)
Compound: K6Sn3Br14
Source: the Alexandria database
Functional: GGA-PBE
Structure: optimized geometry

extended XYZ file:
```
23
Lattice="6.8896 0.0000 0.0000 0.0000 10.4551 -6.0363 0.0000 0.0000 12.0726" Properties=species:S:1:pos:R:3 pbc="T T T"
Br 3.5914 5.7588 6.2592
Br 4.7886 7.9271 -2.3816
Br 4.7886 4.4291 0.3620
Br 6.5720 1.1554 2.4483
Br 6.5720 1.5426 9.8478
Br 3.5914 2.5412 3.9557
Br 6.5720 7.7572 5.8128
Br 1.7368 5.8509 2.4462
Br 1.7368 9.6481 -0.2539
Br 2.6808 0.0000 0.0000
Br 1.7368 5.4112 -2.1923
Br 0.1004 3.4850 6.0363
Br 3.5914 2.1551 7.8940
Br 4.7886 8.5541 2.0196
Sn 3.2206 6.9701 0.0000
Sn 5.5416 0.0000 0.0000
Sn 2.5913 3.4850 6.0363
K 5.4674 5.6916 3.2750
K 5.4674 10.4456 -0.5303
K 1.4784 8.5709 -3.4217
K 1.4784 3.2064 0.3245
K 1.4784 9.1329 3.0972
K 5.4674 4.7731 -2.7447
```

Calculated values
- E_tot: -3.04 eV/atom
- Crystal system: trigonal
- Formation energy (no corrections): -1.22 eV/atom

***

(3)
Compound: K2SnBr6
Source: the Alexandria database
Functional: GGA-PBE
Structure: optimized geometry

extended XYZ file:
```
9
Lattice="-6.7455 -0.0313 -3.5964 -6.3951 -1.5668 3.8839 -5.0901 5.5352 1.3746" Properties=species:S:1:pos:R:3 pbc="T T T"
Br -10.3257 2.9899 3.0923
Br -7.7260 0.1630 2.3903
Br -10.5047 3.7742 -0.7281
Br -7.9050 0.9472 -1.4302
Br -7.0595 3.7901 1.1087
Br -11.1711 0.1470 0.5535
K -13.6730 2.9528 1.2466
K -4.5577 0.9843 0.4155
Sn 0.0000 0.0000 0.0000
```

Calculated values
- E_tot: -2.96 eV/atom
- Energy above the most stable polymorph in this dataset: 1.67 kJ per mole of atoms
- Crystal system: cubic
- Formation energy (no corrections): -1.16 eV/atom

***

(4)
Compound: KSnBr2
Source: the Alexandria database
Functional: GGA-PBE
Structure: optimized geometry

extended XYZ file:
```
4
Lattice="-3.9007 0.6462 3.9625 -4.6528 -3.1099 -0.1192 -0.7886 -4.0048 3.8307" Properties=species:S:1:pos:R:3 pbc="T T T"
Sn -4.6711 -3.2343 3.8370
K 0.0000 0.0000 0.0000
Br -2.3355 -1.6171 1.9185
Br -7.0066 -4.8514 5.7554
```

Calculated values
- E_tot: -2.86 eV/atom
- Energy above the most stable polymorph in this dataset: 11.98 kJ per mole of atoms
- Crystal system: cubic
- Formation energy (no corrections): -0.75 eV/atom

***

(5)
Compound: K2SnBr3
Source: the Alexandria database
Functional: GGA-PBE
Structure: optimized geometry

extended XYZ file:
```
12
Lattice="6.6319 0.0000 0.0000 0.0000 10.0734 -0.0008 -3.3160 -2.5228 6.4970" Properties=species:S:1:pos:R:3 pbc="T T T"
K 3.3150 5.0356 2.2137
K 3.3169 -0.0011 2.2141
K 0.0009 2.5150 4.2825
K -0.0009 7.5517 4.2821
Br 3.3151 7.5537 4.5304
Br 0.0009 -0.0031 1.9658
Br 3.3082 2.5184 -0.0002
Br 3.3168 2.5170 4.5308
Br -0.0009 5.0337 1.9654
Br 3.3237 7.5551 -0.0006
Sn 0.0054 7.5551 -0.0006
Sn 6.6266 2.5184 -0.0002
```

Calculated values
- E_tot: -3.01 eV/atom
- Crystal system: monoclinic
- Formation energy (no corrections): -1.14 eV/atom

***

(6)
Compound: KSn5Br12
Source: the Alexandria database
Functional: GGA-PBE
Structure: optimized geometry

extended XYZ file:
```
18
Lattice="7.6741 0.0000 0.6590 3.8370 6.6801 0.3295 1.1947 0.0000 13.6367" Properties=species:S:1:pos:R:3 pbc="T T T"
Sn 4.4344 0.0001 7.1478
Sn 7.6743 4.4514 0.6590
Sn 3.8371 2.2287 0.3295
Sn 4.4345 4.4534 7.1478
Sn 8.2714 2.2270 7.4774
Br 5.5757 6.6801 8.8856
Br 9.9484 4.1989 2.4730
Br 2.7207 0.0000 1.8487
Br 7.1300 0.0000 5.7397
Br 7.1333 4.4512 5.7535
Br 3.2963 2.2289 5.4241
Br 6.1114 2.4812 2.1434
Br 9.9851 6.6801 12.7764
Br 2.7573 2.4812 12.1522
Br 5.5725 2.2289 8.8716
Br 9.4095 4.4512 9.2011
Br 6.5943 4.1988 12.4818
K 0.0000 0.0000 0.0000
```

Calculated values
- E_tot: -3.12 eV/atom
- Crystal system: monoclinic
- Formation energy (no corrections): -0.83 eV/atom

***

(7)
Compound: KSr2SnBr8
Source: the Alexandria database
Functional: GGA-PBE
Structure: optimized geometry

extended XYZ file:
```
12
Lattice="7.1424 -0.0162 -0.0043 0.0205 6.8808 -0.0077 0.0062 0.0104 9.4106" Properties=species:S:1:pos:R:3 pbc="T T T"
Sr 3.5861 3.4399 7.0548
Sr 3.5830 3.4351 2.3438
Br 6.0753 1.6078 7.3829
Br 4.5884 5.0270 4.6970
Br 4.8024 5.1812 9.4019
Br 6.0714 1.6017 2.0169
Br 2.3668 1.6938 -0.0033
Br 2.5807 1.8480 4.7016
Br 1.0938 5.2672 2.0157
Br 1.0977 5.2733 7.3816
Sn 0.0000 0.0000 0.0000
K 0.0031 0.0052 4.7053
```

Calculated values
- E_tot: -3.34 eV/atom
- Crystal system: monoclinic
- Formation energy (no corrections): -1.52 eV/atom

***

(8)
Compound: KSrSn2Br
Source: the Alexandria database
Functional: GGA-PBE
Structure: optimized geometry

extended XYZ file:
```
5
Lattice="6.0359 0.0000 0.0000 0.0000 5.7554 0.0000 0.0000 0.0000 6.0359" Properties=species:S:1:pos:R:3 pbc="T T T"
Sn 0.0000 0.0000 3.0180
Sn 3.0180 0.0000 0.0000
Sr 3.0180 2.8777 3.0180
Br 0.0000 2.8777 0.0000
K 0.0000 0.0000 0.0000
```

Calculated values
- E_tot: -2.36 eV/atom
- Crystal system: tetragonal
- Formation energy (no corrections): 0.13 eV/atom

***

(9)
Compound: KSrSnBr5
Source: the Alexandria database
Functional: GGA-PBE
Structure: optimized geometry

extended XYZ file:
```
16
Lattice="-7.4299 -2.9282 -1.3040 3.3938 -3.6794 -6.3579 4.5538 -3.9711 10.3427" Properties=species:S:1:pos:R:3 pbc="T T T"
K 1.0001 -4.4270 -2.1230
K -0.4825 -6.1517 4.8037
Br -3.5397 -5.9395 6.2313
Br 4.0573 -4.6392 -3.5505
Br 2.2423 -8.2519 3.8179
Br 5.5343 -6.2884 5.2741
Br -1.7229 -6.1492 -0.5651
Br -2.4801 -3.9047 2.7818
Br 2.9977 -6.6739 -0.1011
Br 2.2405 -4.4295 3.2458
Br -5.0167 -4.2902 -2.5934
Br -1.7247 -2.3268 -1.1372
Sn 4.0257 -6.4645 2.6987
Sn -3.5081 -4.1142 -0.0180
Sr 0.0000 0.0000 0.0000
Sr 2.2769 -1.9855 5.1713
```

Calculated values
- E_tot: -3.39 eV/atom
- Crystal system: monoclinic
- Formation energy (no corrections): -1.49 eV/atom

***

(10)
Compound: KTbSn2Br8
Source: the Alexandria database
Functional: GGA-PBE
Structure: optimized geometry

extended XYZ file:
```
12
Lattice="7.2313 0.0493 -0.0049 0.0997 6.8261 -0.0050 0.0062 0.0141 9.0874" Properties=species:S:1:pos:R:3 pbc="T T T"
Br 2.3358 1.6437 0.0000
Br 1.2211 5.1943 7.0749
Br 6.1160 1.6952 2.0027
Br 4.6639 4.9903 4.5362
Br 6.1238 1.7071 7.0716
Br 1.2133 5.1824 2.0060
Br 5.0014 5.2459 9.0776
Br 2.6732 1.8992 4.5413
Sn 3.6663 3.4419 2.2806
Sn 3.6708 3.4476 6.7969
Tb 0.0000 0.0000 0.0000
K 0.0031 0.0071 4.5437
```

Calculated values
- E_tot: -3.54 eV/atom
- Crystal system: triclinic
- Formation energy (no corrections): -1.28 eV/atom

***

(11)
Compound: KSnTeBr
Source: the Alexandria database
Functional: GGA-PBE
Structure: optimized geometry

extended XYZ file:
```
4
Lattice="4.5333 -0.0015 -0.0011 -2.2669 3.9273 0.0005 -2.2670 -1.3082 8.2899" Properties=species:S:1:pos:R:3 pbc="T T T"
Te -1.8396 1.0221 7.5090
Br 2.6951 1.0212 3.0223
K 0.4274 -0.2875 4.9605
Sn -1.8387 3.6402 0.8353
```

Calculated values
- E_tot: -3.37 eV/atom
- Crystal system: trigonal
- Formation energy (no corrections): -0.90 eV/atom

***

(12)
Compound: KTl2Sn2Br7
Source: the Alexandria database
Functional: GGA-PBE
Structure: optimized geometry

extended XYZ file:
```
12
Lattice="5.7656 0.0000 0.0000 0.0000 6.6352 0.0000 -2.8828 -3.3176 12.7812" Properties=species:S:1:pos:R:3 pbc="T T T"
Sn 0.0000 0.0358 9.9700
Sn 2.8828 3.3535 2.8112
Br 0.0000 0.6583 6.9353
Br 0.0000 2.7445 2.8700
Br 2.8828 -0.5731 9.9112
Br 2.8828 5.9957 2.1794
Br 2.8828 2.5893 0.0000
Br 0.0000 2.6781 10.6018
Br 2.8828 3.9759 5.8458
Tl 0.0000 3.8441 7.4149
Tl 2.8828 0.5265 5.3663
K 0.0000 0.7102 0.0000
```

Calculated values
- E_tot: -3.07 eV/atom
- Crystal system: orthorhombic
- Formation energy (no corrections): -0.94 eV/atom

***

(13)
Compound: K2Tl3SnBr6
Source: the Alexandria database
Functional: GGA-PBE
Structure: optimized geometry

extended XYZ file:
```
12
Lattice="-0.2207 2.9112 7.3433 -2.9716 -7.1471 -1.5925 8.4394 -1.9356 -0.4194" Properties=species:S:1:pos:R:3 pbc="T T T"
Br 5.7044 -2.4573 1.0099
Br 1.5945 0.1576 2.6250
Br 4.5111 -3.1900 5.4952
Br 0.7360 -2.9815 -0.1638
Br 3.6526 -6.3291 2.7064
Br -0.4573 -3.7141 4.3215
Tl 3.5223 0.2004 5.5851
Tl 1.7248 -6.3718 -0.2536
Tl 2.6235 -3.0857 2.6657
K -1.1445 -0.4664 4.3426
K -2.0479 -3.7695 1.4082
Sn 0.0000 0.0000 0.0000
```

Calculated values
- E_tot: -2.94 eV/atom
- Crystal system: monoclinic
- Formation energy (no corrections): -0.99 eV/atom

***

(14)
Compound: K3Tl3SnBr8
Source: the Alexandria database
Functional: GGA-PBE
Structure: optimized geometry

extended XYZ file:
```
15
Lattice="9.4766 -0.0001 -0.0001 -4.7384 8.2066 -0.0288 0.0000 -5.4449 7.7433" Properties=species:S:1:pos:R:3 pbc="T T T"
Br 0.0000 -0.2170 5.5854
Br -2.5734 4.2400 5.5693
Br 2.5732 4.2399 5.5693
Br 4.7383 0.0196 5.7518
Br 2.1650 -1.4783 2.1451
Br -0.0001 2.7420 1.9627
Br 7.3116 -1.4784 2.1451
Br 4.7382 2.9786 2.1290
K 4.7383 -2.7225 3.8716
K -2.3692 1.3809 3.8572
K 2.3691 1.3808 3.8572
Tl -2.3692 4.1033 -0.0144
Tl 0.0000 0.0000 0.0000
Tl 2.3691 4.1033 -0.0144
Sn 0.0000 -2.7225 3.8717
```

Calculated values
- E_tot: -3.06 eV/atom
- Crystal system: trigonal
- Formation energy (no corrections): -1.21 eV/atom

***

(15)
Compound: KTlSnBr4
Source: the Alexandria database
Functional: GGA-PBE
Structure: optimized geometry

extended XYZ file:
```
7
Lattice="5.8322 0.0000 0.0000 0.0000 5.8322 0.0000 -2.9161 -2.9161 8.3604" Properties=species:S:1:pos:R:3 pbc="T T T"
Br 2.9161 0.0000 0.0738
Br 0.0000 0.0000 2.9848
Br 0.0000 2.9161 0.0738
Br 2.9161 2.9161 5.4448
Tl 0.0000 0.0000 5.9824
K 2.9161 2.9161 2.2099
Sn 2.9161 2.9161 8.3118
```

Calculated values
- E_tot: -3.06 eV/atom
- Crystal system: tetragonal
- Formation energy (no corrections): -1.03 eV/atom

***

(16)
Compound: KTlSn2Br6
Source: the Alexandria database
Functional: GGA-PBE
Structure: optimized geometry

extended XYZ file:
```
10
Lattice="-1.0668 3.0048 -7.4754 5.5942 -5.7355 1.3173 -5.7632 -4.8828 3.2721" Properties=species:S:1:pos:R:3 pbc="T T T"
Br -3.0576 -3.7858 1.6844
Br 1.9290 -2.2668 -4.0437
Br 1.5122 -3.0514 0.4273
Br -1.3119 -4.3575 -2.5490
Br -1.0177 0.3713 -3.3264
Br 0.9093 -7.0276 -0.5322
Sn 1.5377 -4.7461 -2.1916
Sn -4.1477 -4.3230 -1.2201
K -0.2156 -5.4578 2.1894
Tl -0.1157 -0.1302 -0.1054
```

Calculated values
- E_tot: -3.14 eV/atom
- Crystal system: triclinic
- Formation energy (no corrections): -0.99 eV/atom

***

(17)
Compound: KTl2SnBr5
Source: the Alexandria database
Functional: GGA-PBE
Structure: optimized geometry

extended XYZ file:
```
18
Lattice="-3.4163 3.1944 -1.5098 2.1420 -5.2794 -8.0175 -10.7017 -9.7593 3.5671" Properties=species:S:1:pos:R:3 pbc="T T T"
K -6.7457 -5.2041 -3.7461
K -10.4242 -11.3767 -0.4828
Br -0.6435 -1.1046 -0.8808
Br -3.5590 -5.8892 -4.4071
Br -7.4548 -4.4993 -0.6503
Br -8.0573 -11.1580 -5.3759
Br -7.3788 -7.1343 -6.3972
Br -3.0839 -1.5452 -4.2904
Br -4.7916 -1.4823 -0.2933
Br -10.7467 -8.0796 -0.7766
Br -0.1440 -3.3533 -6.7689
Br -6.6945 -8.2950 -2.4023
Tl -2.6351 -3.7012 -1.8682
Tl -3.5304 -3.2769 -6.9440
Tl -9.5365 -8.3215 -4.0268
Tl -7.4227 -7.6346 0.6428
Sn -11.9800 -8.0105 2.1603
Sn -4.5383 -7.9761 -6.6064
```

Calculated values
- E_tot: -3.02 eV/atom
- Crystal system: orthorhombic
- Formation energy (no corrections): -1.00 eV/atom

***

(18)
Compound: K2TlSnBr6
Source: the Alexandria database
Functional: GGA-PBE
Structure: optimized geometry

extended XYZ file:
```
20
Lattice="7.8624 0.0000 -0.0063 0.0000 8.3560 0.0000 0.0600 0.0000 11.3857" Properties=species:S:1:pos:R:3 pbc="T T T"
Br 1.6670 1.5222 0.6877
Br 2.2942 5.7002 5.0020
Br 6.9089 4.5250 3.0590
Br 4.9146 0.3469 2.6245
Br 1.3849 1.8030 4.9315
Br 5.6282 2.6558 6.3774
Br 6.5375 6.5530 6.4479
Br 2.5763 5.9810 0.7582
Br 3.0078 8.0091 8.7549
Br 5.3461 2.3750 10.6212
Br 1.0135 3.8311 8.3205
Br 6.2555 6.8338 10.6917
Sn 3.9312 0.0000 -0.0031
Sn 0.0300 4.1780 5.6929
K 3.7031 3.4944 2.8384
K 4.2193 4.8616 8.5410
K 0.2581 7.6725 2.8513
K 7.6643 0.6836 8.5281
Tl 3.9612 0.0000 5.6897
Tl 0.0000 4.1780 0.0000
```

Calculated values
- E_tot: -3.00 eV/atom
- Crystal system: monoclinic
- Formation energy (no corrections): -1.14 eV/atom

***

(19)
Compound: K2TlSnBr5
Source: the Alexandria database
Functional: GGA-PBE
Structure: optimized geometry

extended XYZ file:
```
18
Lattice="4.8447 0.0000 0.0000 -2.4224 9.8364 0.0000 0.0000 0.0000 14.3258" Properties=species:S:1:pos:R:3 pbc="T T T"
K 2.4224 6.9831 11.3810
K 0.0000 2.1612 9.8432
K 2.4224 7.6752 2.6804
K 0.0000 2.8534 4.2181
Tl 0.0000 4.3184 0.2375
Tl 2.4224 5.5180 7.4004
Sn 0.0000 9.2055 6.5001
Sn 2.4224 0.6310 13.6630
Br 2.4224 0.3098 3.8379
Br 2.4224 4.3605 2.4534
Br 0.0000 7.5773 0.0655
Br 2.4224 8.8097 8.1328
Br 2.4224 2.2591 7.2284
Br 0.0000 9.5266 11.0008
Br 2.4224 3.3145 12.3300
Br 0.0000 5.4760 9.6163
Br 0.0000 1.0267 0.9699
Br 0.0000 6.5220 5.1671
```

Calculated values
- E_tot: -3.07 eV/atom
- Crystal system: orthorhombic
- Formation energy (no corrections): -1.19 eV/atom

***

(20)
Compound: KTmSn2Br8
Source: the Alexandria database
Functional: GGA-PBE
Structure: optimized geometry

extended XYZ file:
```
12
Lattice="7.1906 0.0599 -0.0049 0.1044 6.7968 -0.0047 0.0060 0.0142 9.0488" Properties=species:S:1:pos:R:3 pbc="T T T"
Br 6.1045 1.6948 7.0694
Br 5.0043 5.2565 9.0383
Br 1.1964 5.1761 1.9698
Br 2.2966 1.6144 0.0010
Br 6.0956 1.6820 1.9663
Br 1.2053 5.1889 7.0729
Br 4.6369 4.9765 4.5177
Br 2.6641 1.8943 4.5216
Tm 0.0000 0.0000 0.0000
Sn 3.6528 3.4381 6.7820
Sn 3.6482 3.4328 2.2572
K 0.0030 0.0071 4.5244
```

Calculated values
- E_tot: -3.52 eV/atom
- Crystal system: triclinic
- Formation energy (no corrections): -1.27 eV/atom